[1]
GGA-PBE Dy2YEr2Lu2Ni2Te2, optimized geometry; total energy = -5.352 eV per atom
1.0
-1.916 7.740 4.746
1.916 -7.740 4.746
1.916 7.740 -4.746
Dy Y Er Lu Ni Te
2 1 2 2 2 2
Cartesian
0.000 2.058 0.000
0.000 13.422 0.000
0.000 0.000 5.527
1.916 -2.292 3.341
1.916 2.292 3.341
0.000 4.871 1.919
0.000 10.610 1.919
1.916 4.070 0.107
0.000 3.670 4.853
0.000 0.000 2.347
0.000 7.740 3.279

=====

[2]
GGA-PBE DyY2Er2Lu2Ni2Te2, optimized geometry; total energy = -5.501 eV per atom
1.0
-1.912 7.719 4.750
1.912 -7.719 4.750
1.912 7.719 -4.750
Dy Y Er Lu Ni Te
1 2 2 2 2 2
Cartesian
0.000 0.000 0.000
1.912 2.852 1.167
0.000 4.867 5.918
0.000 5.445 2.568
0.000 9.994 2.568
1.912 5.659 -0.771
0.000 2.061 3.979
1.912 -4.014 4.055
1.912 4.014 4.055
1.912 0.000 2.555
0.000 0.000 6.290

=====

[3]
GGA-PBE Dy2YEr2Lu2Ni2Te2, optimized geometry; total energy = -5.337 eV per atom
1.0
-1.915 7.754 4.759
1.915 -7.754 4.759
1.915 7.754 -4.759
Dy Y Er Lu Ni Te
2 1 2 2 2 2
Cartesian
0.000 2.885 0.000
0.000 12.623 0.000
0.000 7.754 3.598
1.915 -2.059 2.828
1.915 2.059 2.828
1.915 5.473 1.422
0.000 2.281 6.181
1.915 3.677 -1.861
0.000 4.077 2.898
0.000 0.000 1.380
0.000 7.754 0.403

=====

[4]
GGA-PBE DyY2Er2Lu2Ni2Te2, optimized geometry; total energy = -5.512 eV per atom
1.0
-1.918 7.743 4.741
1.918 -7.743 4.741
1.918 7.743 -4.741
Dy Y Er Lu Ni Te
1 2 2 2 2 2
Cartesian
0.000 0.000 0.000
0.000 5.468 2.532
0.000 10.017 2.532
1.918 2.861 1.138
0.000 4.882 5.879
1.918 5.679 -0.791
0.000 2.064 3.950
1.918 -4.023 4.069
1.918 4.023 4.069
1.918 0.000 2.527
0.000 0.000 6.262

=====

[5]
GGA-PBE DyY2Er2Lu2Ni2Te2, optimized geometry; total energy = -5.507 eV per atom
1.0
-1.913 7.747 4.754
1.913 -7.747 4.754
1.913 7.747 -4.754
Dy Y Er Lu Ni Te
1 2 2 2 2 2
Cartesian
0.000 0.000 0.000
1.913 5.710 -0.774
0.000 2.037 3.980
1.913 2.868 1.137
0.000 4.879 5.891
0.000 5.468 2.567
0.000 10.026 2.567
1.913 -4.071 4.068
1.913 4.071 4.068
1.913 0.000 2.511
0.000 0.000 6.328

=====

[6]
GGA-PBE DyY2Er2Lu2Ni2Te2, optimized geometry; total energy = -5.518 eV per atom
1.0
-1.917 7.721 4.764
1.917 -7.721 4.764
1.917 7.721 -4.764
Dy Y Er Lu Ni Te
1 2 2 2 2 2
Cartesian
0.000 0.000 0.000
1.917 5.683 -0.778
0.000 2.037 3.986
0.000 5.435 2.579
0.000 10.006 2.579
1.917 2.860 1.144
0.000 4.860 5.908
1.917 -4.080 4.101
1.917 4.080 4.101
1.917 0.000 2.503
0.000 0.000 6.348